Entry 1:
A plane-wave DFT calculation with GGA-PBE was carried out for a relaxed structure of CsHoHgF6.

Lattice parameters (Å, degrees): 8.443 7.925 8.282 118.59 120.65 90.00
Fractional coordinates of all 18 atoms:
F 0.842 0.075 0.254
F 0.412 0.679 0.254
F 0.842 0.679 0.254
F 0.412 0.075 0.254
F 0.591 0.341 0.183
F 0.795 0.045 0.589
F 0.588 0.925 0.746
F 0.205 0.955 0.411
F 0.409 0.659 0.817
F 0.588 0.321 0.746
F 0.158 0.321 0.746
F 0.158 0.925 0.746
Hg 0.500 0.500 0.000
Hg 0.500 0.000 0.000
Cs 0.149 0.399 0.297
Cs 0.851 0.601 0.703
Ho 0.500 0.000 0.500
Ho 0.000 0.000 0.500

Total energy ... -86.69 eV per cell
Size of the total moment ... 0.0 μB/f.u.
SG ... Imma, No. 74
Calculated volume ... 396 Å³ per cell



Entry 2:
A plane-wave DFT calculation with GGA-PBE was carried out for a relaxed structure of Mo2OsPt.

Lattice parameters (Å, degrees): 4.459 4.459 4.459 60.00 60.00 60.00
Fractional coordinates of all 4 atoms:
Pt 0.500 0.500 0.500
Mo 0.750 0.750 0.750
Mo 0.250 0.250 0.250
Os 0.000 0.000 0.000

ΔE to the lowest computed polymorph ... 479 meV per atom
Size of the total moment ... 0.0 μB/f.u.
SG ... Fm-3m, No. 225
DFT formation energy ... 0.31 eV/atom
Calculated volume ... 63 Å³ per cell



Entry 3:
A plane-wave DFT calculation with GGA-PBE was carried out for a relaxed structure of LiCO.

Lattice parameters (Å, degrees): 2.712 8.004 5.088 90.00 90.00 90.00
Last column: magnetic moment on the atom in μB.
Fractional coordinates of all 12 atoms:
O 0.500 0.358 0.067  0.05
O 0.500 0.142 0.567  0.05
O 0.500 0.642 0.067  0.05
O 0.500 0.858 0.567  0.05
Li 0.000 0.676 0.388  0.01
Li 0.000 0.176 0.888  0.01
Li 0.000 0.324 0.388  0.01
Li 0.000 0.824 0.888  0.01
C 0.500 0.500 0.939  -0.01
C 0.500 0.000 0.439  -0.01
C 0.500 0.000 0.159  0.35
C 0.500 0.500 0.659  0.35

ΔE to the lowest computed polymorph ... 454 meV per atom
Size of the total moment ... 0.4 μB/f.u.
SG ... Amm2, No. 38
Calculated volume ... 110 Å³ per cell



Entry 4:
A plane-wave DFT calculation with GGA-PBE was carried out for a relaxed structure of Li3SnHg4.

Lattice parameters (Å, degrees): 4.917 4.886 10.406 135.01 103.66 90.00
Fractional coordinates of all 8 atoms:
Sn 0.500 0.000 0.000
Hg 0.136 0.410 0.273
Hg 0.636 0.908 0.272
Hg 0.864 0.590 0.727
Hg 0.364 0.092 0.728
Li 0.000 0.500 0.000
Li 0.253 0.261 0.506
Li 0.747 0.739 0.494

ΔE to the lowest computed polymorph ... 0 meV per atom
Size of the total moment ... 0.0 μB/f.u.
SG ... C2/m, No. 12
DFT formation energy ... -0.27 eV/atom
Calculated volume ... 167 Å³ per cell



Entry 5:
A plane-wave DFT calculation with GGA-PBE was carried out for a relaxed structure of Mg5Tl2AgPb2.

Lattice parameters (Å, degrees): 3.517 12.030 12.030 90.00 90.00 90.00
Fractional coordinates of all 20 atoms:
Ag 0.000 0.500 0.500
Ag 0.000 0.000 0.000
Tl 0.000 0.160 0.660
Tl 0.000 0.340 0.160
Tl 0.000 0.660 0.840
Tl 0.000 0.840 0.340
Mg 0.500 0.311 0.496
Mg 0.500 0.500 0.000
Mg 0.500 0.000 0.500
Mg 0.500 0.189 0.996
Mg 0.500 0.996 0.811
Mg 0.500 0.504 0.311
Mg 0.500 0.689 0.504
Mg 0.500 0.004 0.189
Mg 0.500 0.496 0.689
Mg 0.500 0.811 0.004
Pb 0.000 0.848 0.652
Pb 0.000 0.652 0.152
Pb 0.000 0.348 0.848
Pb 0.000 0.152 0.348

Size of the total moment ... 0.0 μB/f.u.
SG ... P4/mbm, No. 127
DFT formation energy ... -0.02 eV/atom
Calculated volume ... 509 Å³ per cell



Entry 6:
A plane-wave DFT calculation with GGA-PBE was carried out for a relaxed structure of YErMg6.

Lattice parameters (Å, degrees): 5.075 6.549 6.549 112.57 90.00 90.00
Fractional coordinates of all 8 atoms:
Mg 0.000 0.633 0.932
Mg 0.500 0.918 0.082
Mg 0.000 0.068 0.367
Mg 0.500 0.867 0.567
Mg 0.000 0.581 0.419
Mg 0.500 0.433 0.133
Er 0.500 0.381 0.619
Y 0.000 0.119 0.881

Size of the total moment ... 0.0 μB/f.u.
SG ... Amm2, No. 38
DFT formation energy ... -0.07 eV/atom
Calculated volume ... 201 Å³ per cell



Entry 7:
A plane-wave DFT calculation with GGA-PBE was carried out for a relaxed structure of Cs3CaCu.

Lattice parameters (Å, degrees): 7.101 7.101 7.101 90.00 90.00 90.00
Fractional coordinates of all 5 atoms:
Cs 0.000 0.500 0.000
Cs 0.500 0.000 0.000
Cs 0.000 0.000 0.500
Cu 0.000 0.000 0.000
Ca 0.500 0.500 0.500

ΔE to the lowest computed polymorph ... 0 meV per atom
Size of the total moment ... 0.4 μB/f.u.
SG ... Pm-3m, No. 221
DFT formation energy ... 0.36 eV/atom
Calculated volume ... 358 Å³ per cell



Entry 8:
A plane-wave DFT calculation with GGA-PBE was carried out for a relaxed structure of Ac6Si2Te3Br.

Lattice parameters (Å, degrees): 4.624 9.418 10.485 103.58 102.74 90.00
Fractional coordinates of all 12 atoms:
Te 0.160 0.834 0.320
Te 0.840 0.166 0.680
Te 0.500 0.500 0.000
Ac 0.328 0.889 0.656
Ac 0.672 0.111 0.344
Ac 0.013 0.260 0.026
Ac 0.327 0.433 0.653
Ac 0.673 0.567 0.347
Ac 0.987 0.740 0.974
Br 0.500 0.000 0.000
Si 0.834 0.670 0.667
Si 0.166 0.330 0.333

Total energy ... -61.28 eV per cell
Size of the total moment ... 0.0 μB/f.u.
SG ... C2/m, No. 12
Calculated volume ... 432 Å³ per cell



Entry 9:
A plane-wave DFT calculation with GGA-PBE was carried out for a relaxed structure of In3PbSe.

Lattice parameters (Å, degrees): 5.809 5.809 5.809 90.00 90.00 90.00
Fractional coordinates of all 5 atoms:
In 0.500 0.000 0.000
In 0.000 0.500 0.000
In 0.000 0.000 0.500
Pb 0.000 0.000 0.000
Se 0.500 0.500 0.500

ΔE to the lowest computed polymorph ... 162 meV per atom
Size of the total moment ... 0.0 μB/f.u.
SG ... Pm-3m, No. 221
Calculated volume ... 196 Å³ per cell



Entry 10:
A plane-wave DFT calculation with GGA-PBE was carried out for a relaxed structure of Ga3Ni7B2.

Lattice parameters (Å, degrees): 3.810 3.844 9.498 101.67 90.00 90.00
Fractional coordinates of all 12 atoms:
Ni 0.000 0.208 0.417
Ni 0.000 0.000 0.000
Ni 0.500 0.910 0.819
Ni 0.000 0.390 0.780
Ni 0.000 0.610 0.220
Ni 0.500 0.090 0.181
Ni 0.000 0.792 0.583
Ga 0.500 0.500 0.000
Ga 0.500 0.305 0.610
Ga 0.500 0.695 0.390
B 0.000 0.894 0.789
B 0.000 0.106 0.211

Size of the total moment ... 0.0 μB/f.u.
SG ... Cmmm, No. 65
DFT formation energy ... -0.25 eV/atom
Calculated volume ... 136 Å³ per cell



Entry 11:
A plane-wave DFT calculation with GGA-PBE was carried out for a relaxed structure of DyBe6Ni2.

Lattice parameters (Å, degrees): 3.614 5.856 5.856 61.70 72.03 72.03
Fractional coordinates of all 9 atoms:
Be 0.713 0.090 0.483
Be 0.500 0.341 0.659
Be 0.287 0.910 0.517
Be 0.713 0.483 0.090
Be 0.287 0.517 0.910
Be 0.500 0.659 0.341
Ni 0.139 0.361 0.361
Ni 0.861 0.639 0.639
Dy 0.000 0.000 0.000

Size of the total moment ... 0.0 μB/f.u.
SG ... Immm, No. 71
DFT formation energy ... -0.08 eV/atom
Calculated volume ... 102 Å³ per cell



Entry 12:
A plane-wave DFT calculation with GGA-PBE was carried out for a relaxed structure of BaCa2Au.

Lattice parameters (Å, degrees): 4.399 6.812 6.812 57.72 90.00 90.00
Fractional coordinates of all 4 atoms:
Ca 0.000 0.415 0.415
Ca 0.000 0.085 0.085
Ba 0.500 0.750 0.750
Au 0.500 0.250 0.250

ΔE to the lowest computed polymorph ... 78 meV per atom
Size of the total moment ... 0.0 μB/f.u.
SG ... Cmmm, No. 65
DFT formation energy ... -0.36 eV/atom
Calculated volume ... 173 Å³ per cell



Entry 13:
A plane-wave DFT calculation with GGA-PBE was carried out for a relaxed structure of LiLa14Y.

Lattice parameters (Å, degrees): 7.356 7.356 10.495 90.00 90.00 89.99
Fractional coordinates of all 16 atoms:
La 0.624 0.126 0.748
La 0.375 0.875 0.500
La 0.624 0.126 0.252
La 0.375 0.375 0.000
La 0.126 0.624 0.252
La 0.875 0.375 0.000
La 0.624 0.624 0.748
La 0.126 0.126 0.252
La 0.624 0.624 0.252
La 0.875 0.375 0.500
La 0.126 0.624 0.748
La 0.126 0.126 0.748
La 0.375 0.875 0.000
La 0.875 0.875 0.000
Li 0.375 0.375 0.500
Y 0.875 0.875 0.500

Size of the total moment ... 0.0 μB/f.u.
SG ... P4/mmm, No. 123
DFT formation energy ... 0.03 eV/atom
Calculated volume ... 568 Å³ per cell